Material: Rb4CeTe5
Method: DFT, PBE
State: relaxed

a b c (Å): 6.078 8.191 10.157
angles (deg): 110.00 77.36 78.45
Atoms (fractional coordinates):
Te (0.830, 0.170, 0.340)
Te (0.168, 0.830, 0.660)
Te (0.499, 0.000, 0.000)
Te (0.824, 0.410, 0.999)
Te (0.174, 0.590, 0.001)
Rb (0.428, 0.872, 0.304)
Rb (0.269, 0.431, 0.305)
Rb (0.570, 0.128, 0.696)
Rb (0.728, 0.569, 0.695)
Ce (0.999, 0.000, 0.000)

Space-group type: P-1
Uncorrected energy: -3.54 eV/atom
D(E_F): 3.29 states/eV/f.u.